# 1
Below is crystalline FeNiOs2 at its relaxed geometry, with properties calculated at the GGA-PBEsol level.

For the density of states at the Fermi level, the calculation gives 8.53 states/eV/cell. The value obtained for the energy of formation from the pure elements is 134.9 meV per atom. The calculation puts the calculated total energy at -9.753 eV/atom. Its energy above the most stable polymorph in this dataset is 0.0 meV/atom.

The space group is Amm2 (No. 38) and the conventional cell measures 3.927, 2.603 and 9.445 Å, with angles of 90.00, 90.00 and 90.00 degrees. The inequivalent atoms are Fe at (0.000, 0.000, 0.000), Ni at (0.500, 0.000, 0.868), Os at (0.000, 0.000, 0.263) and Os at (0.500, 0.000, 0.603).


# 2
Below is crystalline Fe2CoCu at its relaxed geometry, with properties calculated at the GGA-PBEsol level.

For the density of states at the Fermi level, the calculation gives 2.58 states/eV/cell. The value obtained for the energy of formation from the pure elements is 128.5 meV per atom. The calculation puts the calculated total energy at -7.371 eV/atom. Its energy above the most stable polymorph in this dataset is 0.0 meV/atom.

The space group is Pm (No. 6) and the conventional cell measures 2.406, 3.940 and 4.736 Å, with angles of 90.00, 101.04 and 90.00 degrees. The inequivalent atoms are Fe at (0.000, 0.000, 0.000), Fe at (0.242, 0.500, 0.743), Co at (0.765, 0.500, 0.234) and Cu at (0.518, 0.000, 0.495).


Question: Which formula does entry 2 have?
Answer: Fe2CoCu


Please write out number 2 again, unchanged.
Below is crystalline Fe2CoCu at its relaxed geometry, with properties calculated at the GGA-PBEsol level.

For the density of states at the Fermi level, the calculation gives 2.58 states/eV/cell. The value obtained for the energy of formation from the pure elements is 128.5 meV per atom. The calculation puts the calculated total energy at -7.371 eV/atom. Its energy above the most stable polymorph in this dataset is 0.0 meV/atom.

The space group is Pm (No. 6) and the conventional cell measures 2.406, 3.940 and 4.736 Å, with angles of 90.00, 101.04 and 90.00 degrees. The inequivalent atoms are Fe at (0.000, 0.000, 0.000), Fe at (0.242, 0.500, 0.743), Co at (0.765, 0.500, 0.234) and Cu at (0.518, 0.000, 0.495).


Question: What is the energy of formation from the pure elements in the first record?
Answer: 134.9 meV per atom


Question: Look up the energy above the most stable polymorph in this dataset of the first one.
Answer: 0.0 meV/atom